Below is a relaxed TcAsCl2 crystal, with properties calculated at the PBEsol level.

Computed properties:
polymorph energy (0 for the lowest one)	28.6	kJ/mol of atoms
density	5.40	g/cm³
formation energy without anion corrections	0.17	eV per atom

Unit cell a=3.1371 b=5.4671 c=8.7481 alpha=90.00 beta=90.00 gamma=90.00
Last column: nearest neighbours and their distance in Å.
Space group Cmm2 (No. 35)
One atom of each set of equivalent atoms:
Tc  0.0000  0.0000  0.0000 [2 per cell]  2 Cl 2.41, 2 As 2.42
As  0.0000  0.5000  0.2101 [2 per cell]  2 Tc 2.42, 2 Cl 2.58
Cl  0.0000  0.0000  0.4449 [2 per cell]  2 As 2.58
Cl  0.0000  0.5000  0.7910 [2 per cell]  2 Tc 2.41

---

Below is a relaxed TaRe2Mo crystal, with properties calculated at the PBEsol level.

Computed properties:
polymorph energy (0 for the lowest one)	0.0	kJ/mol of atoms
density	17.46	g/cm³
ΔH_f (0 K)	-0.140	eV/atom

Unit cell a=3.1321 b=3.1321 c=6.2933 alpha=90.00 beta=90.00 gamma=90.00
Last column: nearest neighbours and their distance in Å.
Space group P4/mmm (No. 123)
One atom of each set of equivalent atoms:
Ta  0.0000  0.0000  0.0000 [1 per cell]  8 Re 2.72
Re  0.5000  0.5000  0.2522 [2 per cell]  4 Mo 2.71, 4 Ta 2.72
Mo  0.0000  0.0000  0.5000 [1 per cell]  8 Re 2.71

---

Below is a relaxed SrTaIr3 crystal, with properties calculated at the PBEsol level.

Computed properties:
polymorph energy (0 for the lowest one)	0.0	kJ/mol of atoms
density	12.65	g/cm³
ΔH_f (0 K)	0.705	eV/atom

Unit cell a=4.8054 b=4.8054 c=4.8054 alpha=90.00 beta=90.00 gamma=90.00
Last column: nearest neighbours and their distance in Å.
Space group Pm-3m (No. 221)
One atom of each set of equivalent atoms:
Sr  0.0000  0.0000  0.0000 [1 per cell]  12 Ir 3.40
Ta  0.5000  0.5000  0.5000 [1 per cell]  6 Ir 2.40
Ir  0.0000  0.5000  0.5000 [3 per cell]  2 Ta 2.40

---

Values for uncorrected energy, eV per atom, ordered as above
-4.93 -12.89 -8.07
Values for size of the total moment, μB per cell, ordered as above
0.00 0.00 0.00